This record from Alexandria via LeMat-Bulk describes LiFeBr2 after structural relaxation. The functional is GGA-PBEsol.

For the total moment, the calculation gives 6.154 μB per cell. As for the excess energy over the best structure of this formula in the dataset: 24 meV per atom. Its uncorrected formation energy is -296 meV/atom.

It has space group I-4m2 (No. 119), with a = 3.581 Å, b = 3.581 Å, c = 13.909 Å, α = 90.00°, β = 90.00° and γ = 90.00°. The inequivalent atoms are Li at (0.000, 0.000, 0.000), Fe at (0.000, 0.500, 0.750), Br at (0.000, 0.000, 0.500) and Br at (0.000, 0.500, 0.250).